Below is a geometry-optimized Co2AsAu structure, with properties calculated at the PBE level.

Properties
* energy relative to the elements: 8.8 kcal/mol of atoms
* spin magnetization: 0.682 μB/atom
* SG: No. 216

Unit cell a=4.3383 b=4.3383 c=4.3383 alpha=60.00 beta=60.00 gamma=60.00
Sites, in units of the cell vectors:
1 Co 0.0000 0.0000 0.0000
2 Co 0.2500 0.2500 0.2500
3 As 0.5000 0.5000 0.5000
4 Au 0.7500 0.7500 0.7500